1.
DFT (GGA-PBE) results for an optimized crystal structure of NiSnPtAu. Values from VASP.

## Properties
Space-group type: F-43m, No. 216
E_form: -136 meV per atom
Crystal system: cubic

```
&SYSTEM
  ibrav = 0, nat = 4, ntyp = 4
/
ATOMIC_SPECIES
Ni 58.69 Ni.upf
Sn 118.71 Sn.upf
Pt 195.08 Pt.upf
Au 196.97 Au.upf
CELL_PARAMETERS angstrom
0.000 3.206 3.206
3.206 0.000 3.206
3.206 3.206 0.000
ATOMIC_POSITIONS crystal
Ni 0.000 0.000 0.000
Sn 0.250 0.250 0.250
Pt 0.500 0.500 0.500
Au 0.750 0.750 0.750
```

2.
DFT (GGA-PBE) results for an optimized crystal structure of TaNiPtAu. Values from VASP.

## Properties
Space-group type: F-43m, No. 216
E_form: -233 meV per atom
Crystal system: cubic

```
&SYSTEM
  ibrav = 0, nat = 4, ntyp = 4
/
ATOMIC_SPECIES
Ta 180.95 Ta.upf
Ni 58.69 Ni.upf
Pt 195.08 Pt.upf
Au 196.97 Au.upf
CELL_PARAMETERS angstrom
0.000 3.150 3.150
3.150 0.000 3.150
3.150 3.150 0.000
ATOMIC_POSITIONS crystal
Ta 0.000 0.000 0.000
Ni 0.250 0.250 0.250
Pt 0.750 0.750 0.750
Au 0.500 0.500 0.500
```

3.
DFT (GGA-PBE) results for an optimized crystal structure of TbNiPtAu. Values from VASP.

## Properties
Space-group type: F-43m, No. 216
E_form: -530 meV per atom
Crystal system: cubic

```
&SYSTEM
  ibrav = 0, nat = 4, ntyp = 4
/
ATOMIC_SPECIES
Tb 158.93 Tb.upf
Ni 58.69 Ni.upf
Pt 195.08 Pt.upf
Au 196.97 Au.upf
CELL_PARAMETERS angstrom
0.000 3.296 3.296
3.296 0.000 3.296
3.296 3.296 0.000
ATOMIC_POSITIONS crystal
Tb 0.000 0.000 0.000
Ni 0.250 0.250 0.250
Pt 0.750 0.750 0.750
Au 0.500 0.500 0.500
```

4.
DFT (GGA-PBE) results for an optimized crystal structure of NiTe2PtAu. Values from VASP.

## Properties
Uncorrected formation energy: 0.57 eV/atom
Space-group type: P4/mmm, No. 123
Crystal system: tetragonal

```
&SYSTEM
  ibrav = 0, nat = 5, ntyp = 4
/
ATOMIC_SPECIES
Ni 58.69 Ni.upf
Te 127.60 Te.upf
Pt 195.08 Pt.upf
Au 196.97 Au.upf
CELL_PARAMETERS angstrom
4.821 0.000 0.000
0.000 4.821 0.000
0.000 0.000 4.854
ATOMIC_POSITIONS crystal
Ni 0.000 0.000 0.000
Te 0.000 0.500 0.000
Te 0.500 0.000 0.000
Pt 0.000 0.000 0.500
Au 0.500 0.500 0.500
```

5.
DFT (GGA-PBE) results for an optimized crystal structure of Th2Ni3Pt12Au. Values from VASP.

## Properties
Space-group type: R-3m, No. 166
E_form: -105 meV per atom
Crystal system: trigonal

```
&SYSTEM
  ibrav = 0, nat = 18, ntyp = 4
/
ATOMIC_SPECIES
Th 232.04 Th.upf
Ni 58.69 Ni.upf
Pt 195.08 Pt.upf
Au 196.97 Au.upf
CELL_PARAMETERS angstrom
4.083 2.357 6.279
-4.083 2.357 6.279
0.000 -4.715 6.279
ATOMIC_POSITIONS crystal
Th 0.114 0.114 0.114
Th 0.886 0.886 0.886
Ni 0.000 0.500 0.500
Ni 0.500 0.000 0.500
Ni 0.500 0.500 0.000
Pt 0.105 0.641 0.641
Pt 0.130 0.130 0.616
Pt 0.130 0.616 0.130
Pt 0.359 0.359 0.895
Pt 0.359 0.895 0.359
Pt 0.384 0.870 0.870
Pt 0.616 0.130 0.130
Pt 0.641 0.105 0.641
Pt 0.641 0.641 0.105
Pt 0.870 0.384 0.870
Pt 0.870 0.870 0.384
Pt 0.895 0.359 0.359
Au 0.500 0.500 0.500
```

6.
DFT (GGA-PBE) results for an optimized crystal structure of TmNiPtAu. Values from VASP.

## Properties
Space-group type: F-43m, No. 216
E_form: -582 meV per atom
Crystal system: cubic

```
&SYSTEM
  ibrav = 0, nat = 4, ntyp = 4
/
ATOMIC_SPECIES
Tm 168.93 Tm.upf
Ni 58.69 Ni.upf
Pt 195.08 Pt.upf
Au 196.97 Au.upf
CELL_PARAMETERS angstrom
0.000 3.262 3.262
3.262 0.000 3.262
3.262 3.262 0.000
ATOMIC_POSITIONS crystal
Tm 0.000 0.000 0.000
Ni 0.750 0.750 0.750
Pt 0.250 0.250 0.250
Au 0.500 0.500 0.500
```

7.
DFT (GGA-PBE) results for an optimized crystal structure of UNiPtAu. Values from VASP.

## Properties
Space-group type: F-43m, No. 216
E_form: -300 meV per atom
Crystal system: cubic

```
&SYSTEM
  ibrav = 0, nat = 4, ntyp = 4
/
ATOMIC_SPECIES
U 238.03 U.upf
Ni 58.69 Ni.upf
Pt 195.08 Pt.upf
Au 196.97 Au.upf
CELL_PARAMETERS angstrom
0.000 3.298 3.298
3.298 0.000 3.298
3.298 3.298 0.000
ATOMIC_POSITIONS crystal
U 0.000 0.000 0.000
Ni 0.750 0.750 0.750
Pt 0.250 0.250 0.250
Au 0.500 0.500 0.500
```

8.
DFT (GGA-PBE) results for an optimized crystal structure of Zn5NiPt2Au2. Values from VASP.

## Properties
Space-group type: P4/mbm, No. 127
E_form: -274 meV per atom
Crystal system: tetragonal

```
&SYSTEM
  ibrav = 0, nat = 20, ntyp = 4
/
ATOMIC_SPECIES
Zn 65.41 Zn.upf
Ni 58.69 Ni.upf
Pt 195.08 Pt.upf
Au 196.97 Au.upf
CELL_PARAMETERS angstrom
10.641 0.000 0.000
0.000 10.641 0.000
0.000 0.000 2.830
ATOMIC_POSITIONS crystal
Zn 0.000 0.500 0.000
Zn 0.112 0.154 0.000
Zn 0.154 0.888 0.000
Zn 0.346 0.388 0.000
Zn 0.388 0.654 0.000
Zn 0.500 0.000 0.000
Zn 0.612 0.346 0.000
Zn 0.654 0.612 0.000
Zn 0.846 0.112 0.000
Zn 0.888 0.846 0.000
Ni 0.000 0.000 0.500
Ni 0.500 0.500 0.500
Pt 0.145 0.355 0.500
Pt 0.355 0.855 0.500
Pt 0.645 0.145 0.500
Pt 0.855 0.645 0.500
Au 0.156 0.656 0.500
Au 0.344 0.156 0.500
Au 0.656 0.844 0.500
Au 0.844 0.344 0.500
```

What did the second record say?
DFT (GGA-PBE) results for an optimized crystal structure of TaNiPtAu. Values from VASP.

## Properties
Space-group type: F-43m, No. 216
E_form: -233 meV per atom
Crystal system: cubic

```
&SYSTEM
  ibrav = 0, nat = 4, ntyp = 4
/
ATOMIC_SPECIES
Ta 180.95 Ta.upf
Ni 58.69 Ni.upf
Pt 195.08 Pt.upf
Au 196.97 Au.upf
CELL_PARAMETERS angstrom
0.000 3.150 3.150
3.150 0.000 3.150
3.150 3.150 0.000
ATOMIC_POSITIONS crystal
Ta 0.000 0.000 0.000
Ni 0.250 0.250 0.250
Pt 0.750 0.750 0.750
Au 0.500 0.500 0.500
```